SrSc2Pt PBE relaxed; volume = 24.18 A^3/atom; formation energy from the elements = -0.0992 eV per atom
1.0
-2.1587 2.1587 5.1891
2.1587 -2.1587 5.1891
2.1587 2.1587 -5.1891
Sr Sc Pt
1 2 1
Cartesian
0.0000 0.0000 0.0000 Sr
2.1587 0.0000 2.5946 Sc
0.0000 2.1587 2.5946 Sc
0.0000 0.0000 5.1891 Pt